A geometry-optimized AcSm10Tm6 structure, computed with GGA-PBE.

Output
symmetry: P-31m (162)
energy relative to the elements: 140 meV/atom

a = 6.8976 Å, b = 9.7938 Å, c = 9.7938 Å
α = 120.00°, β = 90.00°, γ = 90.00°
With the nearest neighbours (Å) after each atom.
Fractional coordinates of all 17 atoms:
Sm 0.1727 0.7162 0.0000  5 Tm 3.43-3.64, 1 Ac 3.58, 4 Sm 3.66-3.73
Sm 0.0000 0.3333 0.6667  8 Sm 3.45-3.73, 6 Tm 3.78
Tm 0.3140 0.3709 0.0000  7 Sm 3.35-3.64, 1 Tm 3.60
Tm 0.6860 0.0000 0.6291  7 Sm 3.35-3.64, 1 Tm 3.60
Tm 0.6860 0.3709 0.3709  7 Sm 3.35-3.64, 1 Tm 3.60
Sm 0.8273 0.0000 0.2838  5 Tm 3.43-3.64, 1 Ac 3.58, 4 Sm 3.66-3.73
Ac 0.5000 0.0000 0.0000  6 Sm 3.58, 6 Tm 3.85
Tm 0.3140 0.0000 0.3709  7 Sm 3.35-3.64, 1 Tm 3.60
Sm 0.1727 0.2838 0.2838  5 Tm 3.43-3.64, 1 Ac 3.58, 4 Sm 3.66-3.73
Tm 0.3140 0.6291 0.6291  7 Sm 3.35-3.64, 1 Tm 3.60
Sm 0.1727 0.0000 0.7162  5 Tm 3.43-3.64, 1 Ac 3.58, 4 Sm 3.66-3.73
Sm 0.5000 0.3333 0.6667  6 Tm 3.35, 2 Sm 3.45
Sm 0.5000 0.6667 0.3333  6 Tm 3.35, 2 Sm 3.45
Sm 0.8273 0.2838 0.0000  5 Tm 3.43-3.64, 1 Ac 3.58, 4 Sm 3.66-3.73
Sm 0.0000 0.6667 0.3333  8 Sm 3.45-3.73, 6 Tm 3.78
Tm 0.6860 0.6291 0.0000  7 Sm 3.35-3.64, 1 Tm 3.60
Sm 0.8273 0.7162 0.7162  5 Tm 3.43-3.64, 1 Ac 3.58, 4 Sm 3.66-3.73

A geometry-optimized Pr2AgSe structure, computed with GGA-PBE.

Output
raw formation energy: -0.96 eV/atom
symmetry: R-3m (166)
energy above the lowest structure with this stoichiometry: 0.29 eV/f.u.

a = 4.2661 Å, b = 4.2661 Å, c = 7.7669 Å
α = 74.06°, β = 74.06°, γ = 60.00°
With the nearest neighbours (Å) after each atom.
Fractional coordinates of all 4 atoms:
Pr 0.2553 0.2553 0.2342  3 Se 3.01, 3 Ag 3.15
Ag 0.5000 0.5000 0.5000  6 Pr 3.15
Pr 0.7447 0.7447 0.7658  3 Se 3.01, 3 Ag 3.15
Se 0.0000 0.0000 0.0000  6 Pr 3.01

A geometry-optimized Hg2PtBr structure, computed with GGA-PBE.

Output
raw formation energy: 0.45 eV/atom
symmetry: Fm-3m (225)
energy above the lowest structure with this stoichiometry: 1.83 eV/f.u.

a = 5.0034 Å, b = 5.0034 Å, c = 5.0034 Å
α = 60.00°, β = 60.00°, γ = 60.00°
With the nearest neighbours (Å) after each atom.
Fractional coordinates of all 4 atoms:
Br 0.0000 0.0000 0.0000  8 Hg 3.06
Pt 0.5000 0.5000 0.5000  8 Hg 3.06
Hg 0.7500 0.7500 0.7500  4 Pt 3.06, 4 Br 3.06
Hg 0.2500 0.2500 0.2500  4 Br 3.06, 4 Pt 3.06

A geometry-optimized CrHgW2 structure, computed with GGA-PBE.

Output
symmetry: P4mm (99)
energy relative to the elements: 518 meV/atom

a = 3.2917 Å, b = 3.2917 Å, c = 6.0874 Å
α = 90.00°, β = 90.00°, γ = 90.00°
With the nearest neighbours (Å) after each atom.
Fractional coordinates of all 4 atoms:
Hg 0.5000 0.5000 0.7389  4 Cr 2.88, 6 W 2.91-3.18
Cr 0.0000 0.0000 0.4602  5 W 2.56-2.63
W 0.5000 0.5000 0.2608  4 Cr 2.63, 4 W 2.69, 1 Hg 2.91
W 0.0000 0.0000 0.0402  1 Cr 2.56, 4 W 2.69

A geometry-optimized Nd5Sc2 structure, computed with GGA-PBE.

Output
symmetry: C2/m (12)
energy relative to the elements: 53 meV/atom

a = 6.1374 Å, b = 6.1374 Å, c = 9.4071 Å
α = 71.50°, β = 122.57°, γ = 131.39°
With the nearest neighbours (Å) after each atom.
Fractional coordinates of all 7 atoms:
Sc 0.4207 0.2169 0.1376  10 Nd 3.46-3.62, 2 Sc 3.50
Nd 0.8468 0.9284 0.2752  4 Sc 3.46-3.56, 8 Nd 3.52-3.72
Nd 0.7139 0.3548 0.5687  9 Nd 3.51-3.63, 3 Sc 3.56-3.62
Nd 0.0000 0.5000 0.0000  6 Sc 3.50-3.56, 6 Nd 3.52-3.59
Nd 0.1532 0.0716 0.7248  4 Sc 3.46-3.56, 8 Nd 3.52-3.72
Sc 0.5793 0.7831 0.8624  10 Nd 3.46-3.62, 2 Sc 3.50
Nd 0.2861 0.6452 0.4313  9 Nd 3.51-3.63, 3 Sc 3.56-3.62

A geometry-optimized ScAs2Os structure, computed with GGA-PBE.

Output
symmetry: F-43m (216)
energy above the lowest structure with this stoichiometry: 1.76 eV/f.u.
energy relative to the elements: 25 meV/atom

a = 4.5882 Å, b = 4.5882 Å, c = 4.5882 Å
α = 60.00°, β = 60.00°, γ = 60.00°
With the nearest neighbours (Å) after each atom.
Fractional coordinates of all 4 atoms:
As 0.7500 0.7500 0.7500  4 As 2.81, 4 Os 2.81
As 0.0000 0.0000 0.0000  4 As 2.81, 4 Sc 2.81
Sc 0.2500 0.2500 0.2500  4 As 2.81, 4 Os 2.81
Os 0.5000 0.5000 0.5000  4 Sc 2.81, 4 As 2.81

A geometry-optimized La4Sm6Dy structure, computed with GGA-PBE.

Output
symmetry: I-42m (121)
energy above the lowest structure with this stoichiometry: 1.20 eV/f.u.
energy relative to the elements: 383 meV/atom

a = 7.6163 Å, b = 7.6163 Å, c = 8.7596 Å
α = 115.77°, β = 115.77°, γ = 90.00°
With the nearest neighbours (Å) after each atom.
Fractional coordinates of all 11 atoms:
Sm 0.0953 0.0953 0.6309  1 La 3.27, 1 Dy 3.48
Sm 0.4643 0.9047 0.3691  1 La 3.27, 1 Dy 3.48
Sm 0.5000 0.0000 0.0000  4 La 3.02
La 0.9023 0.9023 0.1625  3 Sm 3.02-3.27
Sm 0.0000 0.5000 0.0000  4 La 3.02
La 0.2602 0.2602 0.1625  3 Sm 3.02-3.27
Sm 0.5357 0.5357 0.6309  1 La 3.27, 1 Dy 3.48
La 0.0977 0.7398 0.8375  3 Sm 3.02-3.27
La 0.7398 0.0977 0.8375  3 Sm 3.02-3.27
Sm 0.9047 0.4643 0.3691  1 La 3.27, 1 Dy 3.48
Dy 0.5000 0.5000 0.0000  8 Sm 3.48-3.81, 4 La 3.64

A geometry-optimized TcIr4Se structure, computed with GGA-PBE.

Output
raw formation energy: 0.81 eV/atom
symmetry: F-43m (216)

a = 5.1899 Å, b = 5.1899 Å, c = 5.1899 Å
α = 60.00°, β = 60.00°, γ = 60.00°
With the nearest neighbours (Å) after each atom.
Fractional coordinates of all 6 atoms:
Ir 0.3745 0.8765 0.3745  6 Ir 2.58-2.61
Ir 0.3745 0.3745 0.3745  6 Ir 2.58-2.61
Ir 0.8765 0.3745 0.3745  6 Ir 2.58-2.61
Ir 0.3745 0.3745 0.8765  6 Ir 2.58-2.61
Tc 0.0000 0.0000 0.0000  12 Ir 3.04, 4 Se 3.18
Se 0.7500 0.7500 0.7500  12 Ir 3.04, 4 Tc 3.18

A geometry-optimized TbH2S structure, computed with GGA-PBE.

Output
symmetry: R-3m (166)
DFT total energy: -4.383 eV/atom

a = 4.1255 Å, b = 4.1255 Å, c = 4.0422 Å
α = 59.32°, β = 59.32°, γ = 60.00°
With the nearest neighbours (Å) after each atom.
Fractional coordinates of all 4 atoms:
H 0.2319 0.2319 0.3044  1 Tb 2.27, 3 S 2.47
S 0.5000 0.5000 0.5000  8 H 2.47-2.63
H 0.7681 0.7681 0.6956  1 Tb 2.27, 3 S 2.47
Tb 0.0000 0.0000 0.0000  2 H 2.27

A geometry-optimized KBe2Cd structure, computed with GGA-PBE.

Output
symmetry: Pmmm (47)
energy relative to the elements: 513 meV/atom

a = 4.4715 Å, b = 4.2126 Å, c = 5.6825 Å
α = 89.97°, β = 90.00°, γ = 90.00°
With the nearest neighbours (Å) after each atom.
Fractional coordinates of all 4 atoms:
K 0.5000 0.7500 0.7500  4 Cd 3.54, 8 Be 3.77
Be 0.0000 0.0003 0.2499  2 Be 2.10-2.11
Be 0.0000 0.4997 0.2501  2 Be 2.10-2.11
Cd 0.5000 0.2500 0.2500  4 Be 2.47

A geometry-optimized Tl2ReCl6 structure, computed with GGA-PBE.

Output
raw formation energy: -0.85 eV/atom
symmetry: Fm-3m (225)
energy above the lowest structure with this stoichiometry: 0.00 eV/f.u.

a = 7.1246 Å, b = 7.1246 Å, c = 7.1246 Å
α = 60.00°, β = 60.00°, γ = 60.00°
With the nearest neighbours (Å) after each atom.
Fractional coordinates of all 9 atoms:
Cl 0.2356 0.2356 0.7644  1 Re 2.37
Tl 0.2500 0.2500 0.2500  12 Cl 3.57
Tl 0.7500 0.7500 0.7500  12 Cl 3.57
Cl 0.7644 0.7644 0.2356  1 Re 2.37
Cl 0.2356 0.7644 0.2356  1 Re 2.37
Re 0.0000 0.0000 0.0000  6 Cl 2.37
Cl 0.7644 0.2356 0.2356  1 Re 2.37
Cl 0.7644 0.2356 0.7644  1 Re 2.37
Cl 0.2356 0.7644 0.7644  1 Re 2.37

A geometry-optimized CaHo8Tm4 structure, computed with GGA-PBE.

Output
symmetry: C2/m (12)
energy relative to the elements: 56 meV/atom

a = 4.9928 Å, b = 6.1218 Å, c = 16.1957 Å
α = 108.32°, β = 81.13°, γ = 65.93°
With the nearest neighbours (Å) after each atom.
Fractional coordinates of all 13 atoms:
Tm 0.3087 0.8448 0.5377  9 Ho 3.47-3.54, 3 Tm 3.52-3.53
Ca 0.0000 0.0000 0.0000  8 Ho 3.55-3.61, 4 Tm 3.61
Tm 0.6913 0.1552 0.4623  9 Ho 3.47-3.54, 3 Tm 3.52-3.53
Ho 0.5418 0.2258 0.6906  5 Tm 3.48-3.52, 7 Ho 3.48-3.54
Tm 0.7813 0.5976 0.8397  10 Ho 3.47-3.68, 2 Ca 3.61
Ho 0.0759 0.4623 0.3859  6 Tm 3.48-3.54, 6 Ho 3.50-3.54
Ho 0.6112 0.6959 0.0817  5 Ho 3.48-3.62, 4 Tm 3.50-3.68, 3 Ca 3.55-3.56
Ho 0.4582 0.7742 0.3094  5 Tm 3.48-3.52, 7 Ho 3.48-3.54
Ho 0.3888 0.3041 0.9183  5 Ho 3.48-3.62, 4 Tm 3.50-3.68, 3 Ca 3.55-3.56
Tm 0.2187 0.4024 0.1603  10 Ho 3.47-3.68, 2 Ca 3.61
Ho 0.8410 0.0823 0.2358  4 Tm 3.47-3.56, 7 Ho 3.50-3.54, 1 Ca 3.61
Ho 0.1590 0.9177 0.7642  4 Tm 3.47-3.56, 7 Ho 3.50-3.54, 1 Ca 3.61
Ho 0.9241 0.5377 0.6141  6 Tm 3.48-3.54, 6 Ho 3.50-3.54

A geometry-optimized CaHfIr4 structure, computed with GGA-PBE.

Output
symmetry: F-43m (216)
energy relative to the elements: -543 meV/atom

a = 5.2869 Å, b = 5.2869 Å, c = 5.2869 Å
α = 60.00°, β = 60.00°, γ = 60.00°
With the nearest neighbours (Å) after each atom.
Fractional coordinates of all 6 atoms:
Ir 0.6250 0.1250 0.6250  6 Ir 2.64
Hf 0.2500 0.2500 0.2500  12 Ir 3.10, 4 Ca 3.24
Ir 0.6250 0.6250 0.1250  6 Ir 2.64
Ir 0.6250 0.6250 0.6250  6 Ir 2.64
Ca 0.0000 0.0000 0.0000  12 Ir 3.10, 4 Hf 3.24
Ir 0.1250 0.6250 0.6250  6 Ir 2.64

A geometry-optimized SrAl2Ni2 structure, computed with GGA-PBE.

Output
symmetry: I4/mmm (139)
energy relative to the elements: -329 meV/atom

a = 4.3266 Å, b = 4.3266 Å, c = 5.9090 Å
α = 68.52°, β = 68.52°, γ = 90.00°
With the nearest neighbours (Å) after each atom.
Fractional coordinates of all 5 atoms:
Al 0.3523 0.3523 0.2954  4 Ni 2.40
Al 0.6477 0.6477 0.7046  4 Ni 2.40
Ni 0.2500 0.7500 0.5000  4 Al 2.40
Ni 0.7500 0.2500 0.5000  4 Al 2.40
Sr 0.0000 0.0000 0.0000  8 Ni 3.33, 10 Al 3.40-3.56